Model w:
Here is crystalline MgBe2In at its relaxed geometry from Alexandria via LeMat-Bulk. Energies are from PBE-GGA.

The space group is I-4m2 (No. 119) and the conventional cell measures 3.943, 3.943 and 8.092 Å, with angles of 90.00, 90.00 and 90.00 degrees. The inequivalent atoms are Mg at (0.000, 0.000, 0.000), Be at (0.000, 0.000, 0.500), Be at (0.000, 0.500, 0.750) and In at (0.000, 0.500, 0.250).

Its spin magnetization is 0.000 μB per formula unit. Its calculated density is 4.15 g cm⁻³.

***

Model x:
Here is crystalline MgBe2In at its relaxed geometry from Alexandria via LeMat-Bulk. Energies are from PBE-GGA.

The space group is P4/mmm (No. 123) and the conventional cell measures 3.423, 3.423 and 5.452 Å, with angles of 90.00, 90.00 and 90.00 degrees. The inequivalent atoms are Mg at (0.000, 0.000, 0.000), Be at (0.500, 0.500, 0.242) and In at (0.000, 0.000, 0.500).

Its spin magnetization is 0.000 μB per formula unit. Its calculated density is 4.08 g cm⁻³.

***

Going by the energies, model w is most stable and the next is 3.6 kJ/mol of atoms up.

***

Model w:
Here is crystalline MgBe2In at its relaxed geometry from Alexandria via LeMat-Bulk. Energies are from PBE-GGA.

The space group is F-43m (No. 216) and the conventional cell measures 6.330, 6.330 and 6.330 Å, with angles of 90.00, 90.00 and 90.00 degrees. The inequivalent atoms are Mg at (0.000, 0.000, 0.000), Be at (0.000, 0.000, 0.500), Be at (0.250, 0.250, 0.750) and In at (0.250, 0.250, 0.250).

Its spin magnetization is 0.000 μB per formula unit. Its calculated density is 4.11 g cm⁻³.

***

Model x:
Here is crystalline MgBe2In at its relaxed geometry from Alexandria via LeMat-Bulk. Energies are from PBE-GGA.

The space group is Pm (No. 6) and the conventional cell measures 3.666, 3.816 and 4.860 Å, with angles of 90.00, 110.73 and 90.00 degrees. The inequivalent atoms are Mg at (0.000, 0.000, 0.000), Be at (0.581, 0.500, 0.176), Be at (0.696, 0.000, 0.409) and In at (0.280, 0.500, 0.589).

Its spin magnetization is 0.000 μB per formula unit. Its calculated density is 4.10 g cm⁻³.

***

Model y:
Here is crystalline MgBe2In at its relaxed geometry from Alexandria via LeMat-Bulk. Energies are from PBE-GGA.

The space group is I-42d (No. 122) and the conventional cell measures 7.211, 7.211 and 5.478 Å, with angles of 90.00, 90.00 and 90.00 degrees. The inequivalent atoms are Mg at (0.000, 0.000, 0.000), Be at (0.234, 0.250, 0.625) and In at (0.000, 0.000, 0.500).

Its spin magnetization is 0.000 μB per formula unit. Its calculated density is 3.66 g cm⁻³.

***

Model z:
Here is crystalline MgBe2In at its relaxed geometry from Alexandria via LeMat-Bulk. Energies are from PBE-GGA.

The space group is Pmmm (No. 47) and the conventional cell measures 3.258, 4.154 and 4.960 Å, with angles of 90.00, 90.00 and 90.00 degrees. The inequivalent atoms are Mg at (0.000, 0.000, 0.000), Be at (0.500, 0.500, 0.223) and In at (0.500, 0.000, 0.500).

Its spin magnetization is 0.000 μB per formula unit. Its calculated density is 3.89 g cm⁻³.

***

Going by the energies, model x is most stable and the next is 11.6 kJ/mol of atoms up.

***

Model w:
Here is crystalline Mg2BeIn2 at its relaxed geometry from Alexandria via LeMat-Bulk. Energies are from PBE-GGA.

The space group is P4/mbm (No. 127) and the conventional cell measures 6.796, 6.796 and 4.666 Å, with angles of 90.00, 90.00 and 90.00 degrees. The inequivalent atoms are Mg at (0.162, 0.338, 0.000), Be at (0.000, 0.000, 0.500) and In at (0.153, 0.653, 0.500).

Its spin magnetization is 0.000 μB per formula unit. Its calculated density is 4.43 g cm⁻³.

***

Model x:
Here is crystalline Mg2BeIn2 at its relaxed geometry from Alexandria via LeMat-Bulk. Energies are from PBE-GGA.

The space group is P4/mbm (No. 127) and the conventional cell measures 6.921, 6.921 and 4.665 Å, with angles of 90.00, 90.00 and 90.00 degrees. The inequivalent atoms are Mg at (0.158, 0.342, 0.000), Be at (0.000, 0.000, 0.000) and In at (0.160, 0.660, 0.500).

Its spin magnetization is 0.000 μB per formula unit. Its calculated density is 4.27 g cm⁻³.

***

Going by the energies, model w is most stable and the next is 10.1 kJ/mol of atoms up.

***

Model w:
Here is crystalline MnBeIn at its relaxed geometry from Alexandria via LeMat-Bulk. Energies are from PBE-GGA.

The space group is P3m1 (No. 156) and the conventional cell measures 4.2042, 4.2042 and 2.8965 Å, with angles of 90.00, 90.00 and 120.00 degrees. The inequivalent atoms are Mn at (0.0000, 0.0000, 0.0000), Be at (0.6667, 0.3333, 0.4368) and In at (0.3333, 0.6667, 0.5154).

Its spin magnetization is 2.872 μB per formula unit. Its calculated density is 6.70 g cm⁻³.

***

Model x:
Here is crystalline MnBeIn at its relaxed geometry from Alexandria via LeMat-Bulk. Energies are from PBE-GGA.

The space group is I4mm (No. 107) and the conventional cell measures 2.923, 2.923 and 10.050 Å, with angles of 90.00, 90.00 and 90.00 degrees. The inequivalent atoms are Mn at (0.000, 0.000, 0.000), Be at (0.000, 0.000, 0.612) and In at (0.000, 0.000, 0.306).

Its spin magnetization is 2.416 μB per formula unit. Its calculated density is 6.91 g cm⁻³.

***

Going by the energies, model x is most stable and the next is 6.0 kJ/mol of atoms up.

***

Model w:
Here is crystalline BeInMo2 at its relaxed geometry from Alexandria via LeMat-Bulk. Energies are from PBE-GGA.

The space group is P4/mmm (No. 123) and the conventional cell measures 3.161, 3.161 and 6.297 Å, with angles of 90.00, 90.00 and 90.00 degrees. The inequivalent atoms are Be at (0.000, 0.000, 0.000), In at (0.000, 0.000, 0.500) and Mo at (0.500, 0.500, 0.185).

Its spin magnetization is 0.000 μB per formula unit. Its calculated density is 8.33 g cm⁻³.

***

Model x:
Here is crystalline BeInMo2 at its relaxed geometry from Alexandria via LeMat-Bulk. Energies are from PBE-GGA.

The space group is I-42d (No. 122) and the conventional cell measures 3.745, 3.745 and 19.318 Å, with angles of 90.00, 90.00 and 90.00 degrees. The inequivalent atoms are Be at (0.000, 0.000, 0.000), In at (0.000, 0.000, 0.500) and Mo at (0.226, 0.250, 0.125).

Its spin magnetization is 0.000 μB per formula unit. Its calculated density is 7.74 g cm⁻³.

***

Going by the energies, model w is most stable and the next is 42.5 kJ/mol of atoms up.

***

Model w:
Here is crystalline BeInMo2 at its relaxed geometry from Alexandria via LeMat-Bulk. Energies are from PBE-GGA.

The space group is P4mm (No. 99) and the conventional cell measures 3.217, 3.217 and 6.196 Å, with angles of 90.00, 90.00 and 90.00 degrees. The inequivalent atoms are Be at (0.000, 0.000, 0.000), In at (0.500, 0.500, 0.269), Mo at (0.000, 0.000, 0.588) and Mo at (0.500, 0.500, 0.798).

Its spin magnetization is 0.000 μB per formula unit. Its calculated density is 8.18 g cm⁻³.

***

Model x:
Here is crystalline BeInMo2 at its relaxed geometry from Alexandria via LeMat-Bulk. Energies are from PBE-GGA.

The space group is Fm-3m (No. 225) and the conventional cell measures 6.289, 6.289 and 6.289 Å, with angles of 90.00, 90.00 and 90.00 degrees. The inequivalent atoms are Be at (0.000, 0.000, 0.000), In at (0.000, 0.000, 0.500) and Mo at (0.250, 0.250, 0.250).

Its spin magnetization is 0.000 μB per formula unit. Its calculated density is 8.43 g cm⁻³.

***

Going by the energies, model w is most stable and the next is 41.4 kJ/mol of atoms up.

***

Model w:
Here is crystalline BeInMo2 at its relaxed geometry from Alexandria via LeMat-Bulk. Energies are from PBE-GGA.

The space group is Cm (No. 8) and the conventional cell measures 9.170, 2.793 and 5.012 Å, with angles of 90.00, 97.27 and 90.00 degrees. The inequivalent atoms are Be at (0.000, 0.000, 0.000), In at (0.255, 0.500, 0.243), Mo at (0.008, 0.500, 0.538) and Mo at (0.269, 0.000, 0.758).

Its spin magnetization is 0.000 μB per formula unit. Its calculated density is 8.23 g cm⁻³.

***

Model x:
Here is crystalline BeInMo2 at its relaxed geometry from Alexandria via LeMat-Bulk. Energies are from PBE-GGA.

The space group is Imm2 (No. 44) and the conventional cell measures 3.424, 4.460 and 8.098 Å, with angles of 90.00, 90.00 and 90.00 degrees. The inequivalent atoms are Be at (0.000, 0.000, 0.000), In at (0.000, 0.500, 0.735), Mo at (0.000, 0.000, 0.513) and Mo at (0.000, 0.500, 0.266).

Its spin magnetization is 0.000 μB per formula unit. Its calculated density is 8.48 g cm⁻³.

***

Going by the energies, model x is most stable and the next is 9.4 kJ/mol of atoms up.

***

Model w:
Here is crystalline BeInMo2 at its relaxed geometry from Alexandria via LeMat-Bulk. Energies are from PBE-GGA.

The space group is Pm (No. 6) and the conventional cell measures 2.831, 4.257 and 5.370 Å, with angles of 90.00, 98.60 and 90.00 degrees. The inequivalent atoms are Be at (0.000, 0.000, 0.000), In at (0.970, 0.500, 0.292), Mo at (0.366, 0.500, 0.816) and Mo at (0.550, 0.000, 0.577).

Its spin magnetization is 0.000 μB per formula unit. Its calculated density is 8.19 g cm⁻³.

***

Model x:
Here is crystalline BeInMo2 at its relaxed geometry from Alexandria via LeMat-Bulk. Energies are from PBE-GGA.

The space group is Cmmm (No. 65) and the conventional cell measures 5.338, 8.563 and 2.774 Å, with angles of 90.00, 90.00 and 90.00 degrees. The inequivalent atoms are Be at (0.000, 0.000, 0.000), In at (0.000, 0.500, 0.000) and Mo at (0.250, 0.250, 0.500).

Its spin magnetization is 0.000 μB per formula unit. Its calculated density is 8.27 g cm⁻³.

***

Model y:
Here is crystalline BeInMo2 at its relaxed geometry from Alexandria via LeMat-Bulk. Energies are from PBE-GGA.

The space group is F-43m (No. 216) and the conventional cell measures 6.301, 6.301 and 6.301 Å, with angles of 90.00, 90.00 and 90.00 degrees. The inequivalent atoms are Be at (0.000, 0.000, 0.000), In at (0.250, 0.250, 0.250), Mo at (0.000, 0.000, 0.500) and Mo at (0.250, 0.250, 0.750).

Its spin magnetization is 0.000 μB per formula unit. Its calculated density is 8.38 g cm⁻³.

***

Going by the energies, model w is most stable and the next is 9.2 kJ/mol of atoms up.